(1)
## NaGdHf (GGA-PBE)

Data for a geometry-optimized NaGdHf structure.

Unit cell a=7.358 b=7.358 c=7.358 alpha=90.00 beta=90.00 gamma=90.00
Space group F-43m (No. 216)
Unique sites:
Na (0.000, 0.000, 0.000)
Gd (0.000, 0.000, 0.500)
Hf (0.250, 0.250, 0.750)

(2)
## GdHfNb (GGA-PBE)

Data for a geometry-optimized GdHfNb structure.

Output
* DFT formation energy: 0.801 eV/atom

Unit cell a=6.801 b=6.801 c=6.801 alpha=90.00 beta=90.00 gamma=90.00
Space group F-43m (No. 216)
Unique sites:
Gd (0.000, 0.000, 0.000)
Hf (0.000, 0.000, 0.500)
Nb (0.250, 0.250, 0.250)

(3)
## NdGdHf (GGA-PBE)

Data for a geometry-optimized NdGdHf structure.

Output
* DFT formation energy: 0.843 eV/atom

Unit cell a=7.416 b=7.416 c=7.416 alpha=90.00 beta=90.00 gamma=90.00
Space group F-43m (No. 216)
Unique sites:
Nd (0.000, 0.000, 0.000)
Gd (0.000, 0.000, 0.500)
Hf (0.250, 0.250, 0.750)

(4)
## NdGdHf2Sb2 (GGA-PBE)

Data for a geometry-optimized NdGdHf2Sb2 structure.

Unit cell a=4.310 b=4.310 c=16.800 alpha=90.00 beta=90.00 gamma=90.00
Space group I4mm (No. 107)
Unique sites:
Nd (0.000, 0.000, 0.000)
Gd (0.000, 0.000, 0.353)
Hf (0.000, 0.500, 0.178)
Sb (0.000, 0.000, 0.550)
Sb (0.000, 0.000, 0.806)

(5)
## GdHfNp (GGA-PBE)

Data for a geometry-optimized GdHfNp structure.

Output
* DFT formation energy: 1.111 eV/atom

Unit cell a=7.138 b=7.138 c=7.138 alpha=90.00 beta=90.00 gamma=90.00
Space group F-43m (No. 216)
Unique sites:
Gd (0.000, 0.000, 0.000)
Hf (0.250, 0.250, 0.250)
Np (0.000, 0.000, 0.500)

(6)
## Gd2Hf2O7 (GGA-PBE)

Data for a geometry-optimized Gd2Hf2O7 structure.

Unit cell a=10.476 b=10.476 c=10.476 alpha=90.00 beta=90.00 gamma=90.00
Space group Fd-3m (No. 227, origin choice 2)
Unique sites:
Gd (0.000, 0.000, 0.000)
Hf (0.000, 0.000, 0.500)
O (0.087, 0.375, 0.875)
O (0.125, 0.125, 0.125)

Taking the records one at a time from the top gives DFT total energy values of -47.650; -89.198; -67.376; -83.732; -96.192; -825.252 eV for the cell shown.
Taking the records one at a time from the top gives size of the total moment values of 0.70; 0.00; 1.27; 0.02; 4.87; 0.00 μB/f.u..